In2SiNi after structural relaxation, computed with PBE.

POSCAR file:
```
In2SiNi
1.0
2.8509 -3.9529 0.0000
2.8509 3.9529 0.0000
-0.0354 0.0000 3.2548
In Si Ni
2 1 1
Cartesian
1.4255 1.9764 0.0000 In
1.4255 -1.9764 0.0000 In
-0.0177 0.0000 1.6274 Si
2.8333 0.0000 1.6274 Ni
```

## Properties
final energy = -0.283 Ry per atom
crystal system = monoclinic
symmetry = C2/m (12)
uncorrected formation energy = 0.317 eV per atom
magnetization = 0.0 μB per formula unit



YZrPS2 after structural relaxation, computed with PBE.

POSCAR file:
```
YZrPS2
1.0
4.8623 0.0000 0.0000
0.0000 4.8623 0.0000
0.0000 0.0000 5.1151
Y Zr P S
1 1 1 2
Cartesian
0.0000 0.0000 0.0000 Y
2.4311 2.4311 2.5576 Zr
2.4311 2.4311 0.0000 P
0.0000 2.4311 2.5576 S
2.4311 0.0000 2.5576 S
```

## Properties
final energy = -0.490 Ry per atom
crystal system = tetragonal
symmetry = P4/mmm (123)
energy above the most stable polymorph in this dataset = 0.000 eV/atom
uncorrected formation energy = -0.929 eV per atom
magnetization = 0.0 μB per formula unit



MgCoSe2 after structural relaxation, computed with PBE.

POSCAR file:
```
MgCoSe2
1.0
-1.7038 1.7562 6.2303
1.7038 -1.7562 6.2303
1.7038 1.7562 -6.2303
Mg Co Se
1 1 2
Cartesian
0.0000 0.0000 0.0000 Mg
1.7038 0.0000 3.1454 Co
0.0000 0.0000 5.0700 Se
0.0000 1.7562 2.1800 Se
```

## Properties
final energy = -0.312 Ry per atom
crystal system = orthorhombic
symmetry = Imm2 (44)
energy above the most stable polymorph in this dataset = 0.198 eV/atom
uncorrected formation energy = -0.326 eV per atom
magnetization = 2.2 μB per formula unit



TaVW2 after structural relaxation, computed with PBE.

POSCAR file:
```
TaVW2
1.0
3.1669 0.0000 0.0000
0.0000 3.1669 0.0000
0.0000 0.0000 6.3410
Ta V W
1 1 2
Cartesian
0.0000 0.0000 0.0000 Ta
0.0000 0.0000 3.1705 V
1.5835 1.5835 1.6569 W
1.5835 1.5835 4.6841 W
```

## Properties
final energy = -0.866 Ry per atom
calculated formation energy = -61 meV per atom
crystal system = tetragonal
symmetry = P4/mmm (123)
energy above the most stable polymorph in this dataset = 0.000 eV/atom
magnetization = 0.0 μB per formula unit



In2ReTe after structural relaxation, computed with PBE.

POSCAR file:
```
In2ReTe
1.0
3.1813 -4.2890 0.0000
3.1813 4.2890 0.0000
0.0000 0.0000 3.1422
In Re Te
2 1 1
Cartesian
1.5907 2.1445 0.0000 In
1.5907 -2.1445 0.0000 In
0.0000 0.0000 1.5711 Re
3.1813 0.0000 1.5711 Te
```

## Properties
final energy = -0.332 Ry per atom
crystal system = orthorhombic
symmetry = Cmmm (65)
uncorrected formation energy = 0.751 eV per atom
magnetization = 0.0 μB per formula unit



Hg2TeBr after structural relaxation, computed with PBE.

POSCAR file:
```
Hg2TeBr
1.0
7.4968 -2.0860 0.0000
7.4968 2.0860 0.0000
-1.2425 0.0000 4.1649
Hg Te Br
2 1 1
Cartesian
3.0167 0.0000 0.9168 Hg
10.7344 0.0000 3.2481 Hg
0.0000 0.0000 0.0000 Te
6.8755 0.0000 2.0825 Br
```

## Properties
final energy = -0.096 Ry per atom
crystal system = monoclinic
symmetry = C2/m (12)
energy above the most stable polymorph in this dataset = 0.310 eV/atom
uncorrected formation energy = 0.054 eV per atom
magnetization = 0.0 μB per formula unit



Rb2SbS2I2 after structural relaxation, computed with PBE.

POSCAR file:
```
Rb2SbS2I2
1.0
-2.6036 2.6036 9.5469
2.6036 -2.6036 9.5469
2.6036 2.6036 -9.5469
Rb Sb S I
2 1 2 2
Cartesian
0.0000 0.0000 2.4228 Rb
0.0000 0.0000 16.6711 Rb
0.0000 0.0000 9.5469 Sb
2.6036 0.0000 0.0000 S
0.0000 2.6036 0.0000 S
0.0000 0.0000 6.4165 I
0.0000 0.0000 12.6773 I
```

## Properties
final energy = -0.241 Ry per atom
crystal system = tetragonal
symmetry = I4/mmm (139)
uncorrected formation energy = -0.791 eV per atom
magnetization = 0.0 μB per formula unit



TcTeSeI2 after structural relaxation, computed with PBE.

POSCAR file:
```
TcTeSeI2
1.0
5.4046 0.0000 0.0000
0.0000 5.4046 0.0000
0.0000 0.0000 5.1800
Tc Te Se I
1 1 1 2
Cartesian
0.0000 0.0000 0.0000 Tc
0.0000 0.0000 2.5900 Te
2.7023 2.7023 2.5900 Se
0.0000 2.7023 0.0000 I
2.7023 0.0000 0.0000 I
```

## Properties
final energy = -0.250 Ry per atom
crystal system = tetragonal
symmetry = P4/mmm (123)
energy above the most stable polymorph in this dataset = 0.000 eV/atom
uncorrected formation energy = 0.614 eV per atom
magnetization = 0.4 μB per formula unit